1.
# KTePd2 | Alexandria via LeMat-Bulk | PBE-GGA | relaxed
# * total magnetic moment: 0.0000 μB/atom
# * final energy: -4.041 eV per atom
# * V: 32.09 Å³/atom
# * energy relative to the elements, uncorrected: -0.38 eV per atom
# * DOS at the Fermi energy: 3.30 states/eV per cell
# * crystal system: tetragonal
data_KTePd2
_chemical_formula_sum 'K4 Te4 Pd8'
_cell_length_a 5.430
_cell_length_b 5.430
_cell_length_c 17.412
_cell_angle_alpha 90.00
_cell_angle_beta 90.00
_cell_angle_gamma 90.00
_symmetry_space_group_name_H-M 'I -4 2 d'
_symmetry_Int_Tables_number 122
_symmetry_space_group_name_Hall 'I -4 2bw'
loop_
_atom_site_label
_atom_site_fract_x
_atom_site_fract_y
_atom_site_fract_z
_atom_site_occupancy
K1 0.000 0.000 0.000 1
Te1 0.000 0.000 0.500 1
Pd1 0.005 0.250 0.625 1



2.
# K2Te2Pd | Alexandria via LeMat-Bulk | PBE-GGA | relaxed
# * total magnetic moment: 0.0650 μB/atom
# * final energy: -2.805 eV per atom
# * V: 33.53 Å³/atom
# * energy relative to the elements, uncorrected: -0.07 eV per atom
# * DOS at the Fermi energy: 12.91 states/eV per cell
# * crystal system: tetragonal
data_K2Te2Pd
_chemical_formula_sum 'K4 Te4 Pd2'
_cell_length_a 10.188
_cell_length_b 10.188
_cell_length_c 3.230
_cell_angle_alpha 90.00
_cell_angle_beta 90.00
_cell_angle_gamma 90.00
_symmetry_space_group_name_H-M 'P 4/m b m'
_symmetry_Int_Tables_number 127
_symmetry_space_group_name_Hall '-P 4 2ab'
loop_
_atom_site_label
_atom_site_fract_x
_atom_site_fract_y
_atom_site_fract_z
_atom_site_occupancy
K1 0.129 0.371 0.000 1
Te1 0.170 0.670 0.500 1
Pd1 0.000 0.000 0.000 1



3.
# KTePd3 | Alexandria via LeMat-Bulk | PBE-GGA | relaxed
# * total magnetic moment: 0.0000 μB/atom
# * final energy: -4.054 eV per atom
# * V: 26.38 Å³/atom
# * energy relative to the elements, uncorrected: -0.09 eV per atom
# * distance to the lowest polymorph of the same formula: 0.000 eV/atom
# * DOS at the Fermi energy: 3.16 states/eV per cell
# * crystal system: cubic
data_KTePd3
_chemical_formula_sum 'K1 Te1 Pd3'
_cell_length_a 5.090
_cell_length_b 5.090
_cell_length_c 5.090
_cell_angle_alpha 90.00
_cell_angle_beta 90.00
_cell_angle_gamma 90.00
_symmetry_space_group_name_H-M 'P m -3 m'
_symmetry_Int_Tables_number 221
_symmetry_space_group_name_Hall '-P 4 2 3'
loop_
_atom_site_label
_atom_site_fract_x
_atom_site_fract_y
_atom_site_fract_z
_atom_site_occupancy
K1 0.000 0.000 0.000 1
Te1 0.500 0.500 0.500 1
Pd1 0.000 0.500 0.500 1



4.
# K4Th3Te8Pd | Alexandria via LeMat-Bulk | PBE-GGA | relaxed
# * total magnetic moment: 0.0001 μB/atom
# * final energy: -4.611 eV per atom
# * V: 36.71 Å³/atom
# * energy relative to the elements, uncorrected: -1.05 eV per atom
# * DOS at the Fermi energy: 16.43 states/eV per cell
# * crystal system: monoclinic
data_K4Th3Te8Pd
_chemical_formula_sum 'K8 Th6 Te16 Pd2'
_cell_length_a 15.915
_cell_length_b 9.008
_cell_length_c 9.769
_cell_angle_alpha 90.00
_cell_angle_beta 122.98
_cell_angle_gamma 90.00
_symmetry_space_group_name_H-M 'C 1 2/m 1'
_symmetry_Int_Tables_number 12
_symmetry_space_group_name_Hall '-C 2y'
loop_
_atom_site_label
_atom_site_fract_x
_atom_site_fract_y
_atom_site_fract_z
_atom_site_occupancy
K1 0.000 0.000 0.000 1
K2 0.000 0.500 0.000 1
K3 0.250 0.250 0.000 1
Th1 0.000 0.000 0.500 1
Th2 0.250 0.250 0.500 1
Te1 0.015 0.260 0.301 1
Te2 0.239 0.500 0.711 1
Te3 0.240 0.000 0.721 1
Pd1 0.000 0.500 0.500 1



5.
# KTi3Te6Pd2 | Alexandria via LeMat-Bulk | PBE-GGA | relaxed
# * total magnetic moment: 0.1189 μB/atom
# * final energy: -5.032 eV per atom
# * V: 26.57 Å³/atom
# * energy relative to the elements, uncorrected: -0.53 eV per atom
# * DOS at the Fermi energy: 13.84 states/eV per cell
# * crystal system: monoclinic
data_KTi3Te6Pd2
_chemical_formula_sum 'K2 Ti6 Te12 Pd4'
_cell_length_a 18.439
_cell_length_b 4.013
_cell_length_c 9.180
_cell_angle_alpha 90.00
_cell_angle_beta 110.16
_cell_angle_gamma 90.00
_symmetry_space_group_name_H-M 'C 1 2/m 1'
_symmetry_Int_Tables_number 12
_symmetry_space_group_name_Hall '-C 2y'
loop_
_atom_site_label
_atom_site_fract_x
_atom_site_fract_y
_atom_site_fract_z
_atom_site_occupancy
K1 0.000 0.000 0.000 1
Ti1 0.000 0.000 0.500 1
Ti2 0.139 0.500 0.816 1
Te1 0.022 0.500 0.302 1
Te2 0.161 0.000 0.624 1
Te3 0.192 0.000 0.064 1
Pd1 0.136 0.500 0.174 1



6.
# KTiTe3Pd | Alexandria via LeMat-Bulk | PBE-GGA | relaxed
# * total magnetic moment: 0.0000 μB/atom
# * final energy: -4.671 eV per atom
# * V: 28.72 Å³/atom
# * energy relative to the elements, uncorrected: -0.74 eV per atom
# * DOS at the Fermi energy: 6.09 states/eV per cell
# * crystal system: monoclinic
data_KTiTe3Pd
_chemical_formula_sum 'K2 Ti2 Te6 Pd2'
_cell_length_a 9.011
_cell_length_b 3.917
_cell_length_c 10.731
_cell_angle_alpha 90.00
_cell_angle_beta 114.50
_cell_angle_gamma 90.00
_symmetry_space_group_name_H-M 'P 1 21/m 1'
_symmetry_Int_Tables_number 11
_symmetry_space_group_name_Hall '-P 2yb'
loop_
_atom_site_label
_atom_site_fract_x
_atom_site_fract_y
_atom_site_fract_z
_atom_site_occupancy
K1 0.242 0.250 0.220 1
Ti1 0.210 0.750 0.674 1
Te1 0.038 0.750 0.375 1
Te2 0.250 0.750 0.941 1
Te3 0.402 0.250 0.631 1
Pd1 0.420 0.250 0.887 1



7.
# K2TiTePd | Alexandria via LeMat-Bulk | PBE-GGA | relaxed
# * total magnetic moment: 0.4748 μB/atom
# * final energy: -3.114 eV per atom
# * V: 44.08 Å³/atom
# * energy relative to the elements, uncorrected: 0.57 eV per atom
# * DOS at the Fermi energy: 5.47 states/eV per cell
# * crystal system: tetragonal
data_K2TiTePd
_chemical_formula_sum 'K2 Ti1 Te1 Pd1'
_cell_length_a 6.556
_cell_length_b 6.556
_cell_length_c 5.127
_cell_angle_alpha 90.00
_cell_angle_beta 90.00
_cell_angle_gamma 90.00
_symmetry_space_group_name_H-M 'P 4/m m m'
_symmetry_Int_Tables_number 123
_symmetry_space_group_name_Hall '-P 4 2'
loop_
_atom_site_label
_atom_site_fract_x
_atom_site_fract_y
_atom_site_fract_z
_atom_site_occupancy
K1 0.000 0.500 0.000 1
Ti1 0.000 0.000 0.000 1
Te1 0.000 0.000 0.500 1
Pd1 0.500 0.500 0.500 1



8.
# KTl2TePd | Alexandria via LeMat-Bulk | PBE-GGA | relaxed
# * total magnetic moment: 0.0000 μB/atom
# * final energy: -3.128 eV per atom
# * V: 33.19 Å³/atom
# * energy relative to the elements, uncorrected: -0.30 eV per atom
# * DOS at the Fermi energy: 3.16 states/eV per cell
# * crystal system: tetragonal
data_KTl2TePd
_chemical_formula_sum 'K1 Tl2 Te1 Pd1'
_cell_length_a 5.387
_cell_length_b 5.387
_cell_length_c 5.719
_cell_angle_alpha 90.00
_cell_angle_beta 90.00
_cell_angle_gamma 90.00
_symmetry_space_group_name_H-M 'P 4/m m m'
_symmetry_Int_Tables_number 123
_symmetry_space_group_name_Hall '-P 4 2'
loop_
_atom_site_label
_atom_site_fract_x
_atom_site_fract_y
_atom_site_fract_z
_atom_site_occupancy
K1 0.000 0.000 0.000 1
Tl1 0.000 0.500 0.500 1
Te1 0.500 0.500 0.000 1
Pd1 0.500 0.500 0.500 1



9.
# K3U3Te8Pd | Alexandria via LeMat-Bulk | PBE-GGA | relaxed
# * total magnetic moment: 0.4722 μB/atom
# * final energy: -5.215 eV per atom
# * V: 36.79 Å³/atom
# * energy relative to the elements, uncorrected: -0.72 eV per atom
# * DOS at the Fermi energy: 44.10 states/eV per cell
# * crystal system: monoclinic
data_K3U3Te8Pd
_chemical_formula_sum 'K6 U6 Te16 Pd2'
_cell_length_a 14.945
_cell_length_b 8.640
_cell_length_c 9.891
_cell_angle_alpha 90.00
_cell_angle_beta 120.22
_cell_angle_gamma 90.00
_symmetry_space_group_name_H-M 'C 1 2/m 1'
_symmetry_Int_Tables_number 12
_symmetry_space_group_name_Hall '-C 2y'
loop_
_atom_site_label
_atom_site_fract_x
_atom_site_fract_y
_atom_site_fract_z
_atom_site_occupancy
K1 0.000 0.000 0.000 1
K2 0.250 0.250 0.000 1
U1 0.000 0.500 0.500 1
U2 0.250 0.250 0.500 1
Te1 0.014 0.240 0.301 1
Te2 0.225 0.000 0.698 1
Te3 0.238 0.500 0.715 1
Pd1 0.000 0.000 0.500 1



10.
# K4U3Te8Pd | Alexandria via LeMat-Bulk | PBE-GGA | relaxed
# * total magnetic moment: 0.4352 μB/atom
# * final energy: -5.050 eV per atom
# * V: 35.02 Å³/atom
# * energy relative to the elements, uncorrected: -0.76 eV per atom
# * DOS at the Fermi energy: 70.08 states/eV per cell
# * crystal system: trigonal
data_K4U3Te8Pd
_chemical_formula_sum 'K12 U9 Te24 Pd3'
_cell_length_a 8.8468
_cell_length_b 8.8468
_cell_length_c 24.8025
_cell_angle_alpha 90.00
_cell_angle_beta 90.00
_cell_angle_gamma 120.00
_symmetry_space_group_name_H-M 'R -3 m'
_symmetry_Int_Tables_number 166
_symmetry_space_group_name_Hall '-R 3 2"'
loop_
_atom_site_label
_atom_site_fract_x
_atom_site_fract_y
_atom_site_fract_z
_atom_site_occupancy
K1 0.0000 0.0000 0.0000 1
K2 0.0000 0.5000 0.0000 1
U1 0.0000 0.5000 0.5000 1
Te1 0.0000 0.0000 0.2383 1
Te2 0.0091 0.5046 0.2337 1
Pd1 0.0000 0.0000 0.5000 1



11.
# K2UTe4Pd2 | Alexandria via LeMat-Bulk | PBE-GGA | relaxed
# * total magnetic moment: 0.1139 μB/atom
# * final energy: -4.795 eV per atom
# * V: 30.18 Å³/atom
# * energy relative to the elements, uncorrected: -0.75 eV per atom
# * DOS at the Fermi energy: 12.57 states/eV per cell
# * crystal system: monoclinic
data_K2UTe4Pd2
_chemical_formula_sum 'K4 U2 Te8 Pd4'
_cell_length_a 15.637
_cell_length_b 4.315
_cell_length_c 8.488
_cell_angle_alpha 90.00
_cell_angle_beta 108.50
_cell_angle_gamma 90.00
_symmetry_space_group_name_H-M 'C 1 2/m 1'
_symmetry_Int_Tables_number 12
_symmetry_space_group_name_Hall '-C 2y'
loop_
_atom_site_label
_atom_site_fract_x
_atom_site_fract_y
_atom_site_fract_z
_atom_site_occupancy
K1 0.135 0.000 0.075 1
U1 0.000 0.000 0.500 1
Te1 0.012 0.500 0.255 1
Te2 0.198 0.000 0.686 1
Pd1 0.179 0.500 0.489 1



12.
# KUTe4Pd2 | Alexandria via LeMat-Bulk | PBE-GGA | relaxed
# * total magnetic moment: 0.2701 μB/atom
# * final energy: -4.787 eV per atom
# * V: 28.68 Å³/atom
# * energy relative to the elements, uncorrected: -0.37 eV per atom
# * DOS at the Fermi energy: 19.30 states/eV per cell
# * crystal system: orthorhombic
data_KUTe4Pd2
_chemical_formula_sum 'K2 U2 Te8 Pd4'
_cell_length_a 6.568
_cell_length_b 8.185
_cell_length_c 8.534
_cell_angle_alpha 90.00
_cell_angle_beta 90.00
_cell_angle_gamma 90.00
_symmetry_space_group_name_H-M 'I 2 2 2'
_symmetry_Int_Tables_number 23
_symmetry_space_group_name_Hall 'I 2 2'
loop_
_atom_site_label
_atom_site_fract_x
_atom_site_fract_y
_atom_site_fract_z
_atom_site_occupancy
K1 0.000 0.000 0.000 1
U1 0.000 0.000 0.500 1
Te1 0.216 0.241 0.274 1
Pd1 0.000 0.500 0.166 1